Entry 1:
DFT (PBE) results for crystalline SrErNpO6 at its relaxed geometry.

abc: 5.7965 5.7965 10.2205
angles: 90.00 90.00 120.00
Positions (direct):
1 Sr 0.0000 0.0000 0.0000
2 Sr 0.0000 0.0000 0.5000
3 Er 0.3333 0.6667 0.2500
4 Er 0.6667 0.3333 0.7500
5 Np 0.3333 0.6667 0.7500
6 Np 0.6667 0.3333 0.2500
7 O 0.0275 0.3815 0.6438
8 O 0.0275 0.6460 0.8562
9 O 0.3540 0.3815 0.8562
10 O 0.3540 0.9725 0.6438
11 O 0.3815 0.0275 0.1438
12 O 0.3815 0.3540 0.3562
13 O 0.6185 0.6460 0.6438
14 O 0.6185 0.9725 0.8562
15 O 0.6460 0.0275 0.3562
16 O 0.6460 0.6185 0.1438
17 O 0.9725 0.3540 0.1438
18 O 0.9725 0.6185 0.3562

Output
The value obtained for the formation energy without anion corrections is -3016 meV per atom. As for the space-group type: No. 163. The value obtained for the total moment is 0.000 μB per cell.

Entry 2:
DFT (PBE) results for crystalline Sr2ErNpO6 at its relaxed geometry.

abc: 5.9578 6.0789 10.3726
angles: 90.00 125.03 90.00
Positions (direct):
1 Sr 0.2400 0.0423 0.2506
2 Sr 0.2400 0.4577 0.7506
3 Sr 0.7600 0.5423 0.2494
4 Sr 0.7600 0.9577 0.7494
5 Er 0.5000 0.0000 0.0000
6 Er 0.5000 0.5000 0.5000
7 Np 0.0000 0.0000 0.5000
8 Np 0.0000 0.5000 0.0000
9 O 0.1473 0.2120 0.9474
10 O 0.1473 0.2880 0.4474
11 O 0.2396 0.7000 0.9515
12 O 0.2396 0.8000 0.4515
13 O 0.3392 0.0342 0.7443
14 O 0.3392 0.4658 0.2443
15 O 0.6608 0.5342 0.7557
16 O 0.6608 0.9658 0.2557
17 O 0.7604 0.2000 0.5485
18 O 0.7604 0.3000 0.0485
19 O 0.8527 0.7120 0.5526
20 O 0.8527 0.7880 0.0526

Output
The value obtained for the formation energy without anion corrections is -3167 meV per atom. As for the space-group type: No. 14. The value obtained for the total moment is 4.000 μB per cell.

Entry 3:
DFT (PBE) results for crystalline TbErNpO6 at its relaxed geometry.

abc: 5.7038 5.7038 9.4943
angles: 90.00 90.00 120.00
Positions (direct):
1 Tb 0.0000 0.0000 0.0000
2 Tb 0.0000 0.0000 0.5000
3 Er 0.3333 0.6667 0.2500
4 Er 0.6667 0.3333 0.7500
5 Np 0.3333 0.6667 0.7500
6 Np 0.6667 0.3333 0.2500
7 O 0.0227 0.3568 0.6345
8 O 0.0227 0.6659 0.8655
9 O 0.3341 0.3568 0.8655
10 O 0.3341 0.9773 0.6345
11 O 0.3568 0.0227 0.1345
12 O 0.3568 0.3341 0.3655
13 O 0.6432 0.6659 0.6345
14 O 0.6432 0.9773 0.8655
15 O 0.6659 0.0227 0.3655
16 O 0.6659 0.6432 0.1345
17 O 0.9773 0.3341 0.1345
18 O 0.9773 0.6432 0.3655

Output
The value obtained for the formation energy without anion corrections is -3221 meV per atom. As for the space-group type: No. 163. The value obtained for the total moment is 2.000 μB per cell.

Entry 4:
DFT (PBE) results for crystalline ErThNpO6 at its relaxed geometry.

abc: 5.7584 5.7584 9.7696
angles: 90.00 90.00 120.00
Positions (direct):
1 Er 0.3333 0.6667 0.2500
2 Er 0.6667 0.3333 0.7500
3 Th 0.0000 0.0000 0.0000
4 Th 0.0000 0.0000 0.5000
5 Np 0.3333 0.6667 0.7500
6 Np 0.6667 0.3333 0.2500
7 O 0.0139 0.3485 0.6344
8 O 0.0139 0.6654 0.8656
9 O 0.3346 0.3485 0.8656
10 O 0.3346 0.9861 0.6344
11 O 0.3485 0.0139 0.1344
12 O 0.3485 0.3346 0.3656
13 O 0.6515 0.6654 0.6344
14 O 0.6515 0.9861 0.8656
15 O 0.6654 0.0139 0.3656
16 O 0.6654 0.6515 0.1344
17 O 0.9861 0.3346 0.1344
18 O 0.9861 0.6515 0.3656

Output
The value obtained for the formation energy without anion corrections is -3336 meV per atom. As for the space-group type: No. 163. The value obtained for the total moment is 4.000 μB per cell.

Entry 5:
DFT (PBE) results for crystalline ErNpTl2O6 at its relaxed geometry.

abc: 6.1030 6.1030 6.1030
angles: 60.00 60.00 60.00
Positions (direct):
1 Er 0.0000 0.0000 0.0000
2 Np 0.5000 0.5000 0.5000
3 Tl 0.2500 0.2500 0.2500
4 Tl 0.7500 0.7500 0.7500
5 O 0.2632 0.2632 0.7368
6 O 0.2632 0.7368 0.2632
7 O 0.2632 0.7368 0.7368
8 O 0.7368 0.2632 0.2632
9 O 0.7368 0.2632 0.7368
10 O 0.7368 0.7368 0.2632

Output
The value obtained for the formation energy without anion corrections is -2284 meV per atom. As for the space-group type: No. 225. The value obtained for the total moment is 0.076 μB per cell.

Entry 6:
DFT (PBE) results for crystalline ErTm2NpO8 at its relaxed geometry.

abc: 5.0310 5.0310 6.9070
angles: 90.00 90.00 90.87
Positions (direct):
1 Er 0.0000 0.0000 0.0000
2 Tm 0.5000 0.5000 0.2388
3 Tm 0.5000 0.5000 0.7612
4 Np 0.0000 0.0000 0.5000
5 O 0.1851 0.8149 0.2746
6 O 0.1851 0.8149 0.7254
7 O 0.2851 0.2851 0.5000
8 O 0.3082 0.3082 0.0000
9 O 0.6918 0.6918 0.0000
10 O 0.7149 0.7149 0.5000
11 O 0.8149 0.1851 0.2746
12 O 0.8149 0.1851 0.7254

Output
The value obtained for the formation energy without anion corrections is -3230 meV per atom. As for the space-group type: No. 65. The value obtained for the total moment is 0.000 μB per cell.

Entry 7:
DFT (PBE) results for crystalline Er2TmNpO8 at its relaxed geometry.

abc: 5.0396 6.9160 5.0424
angles: 90.00 91.10 90.00
Positions (direct):
1 Er 0.0000 0.2393 0.0000
2 Er 0.0000 0.7607 0.0000
3 Tm 0.5000 0.0000 0.5000
4 Np 0.5000 0.5000 0.5000
5 O 0.1931 0.0000 0.1940
6 O 0.2145 0.5000 0.2159
7 O 0.3171 0.2736 0.6840
8 O 0.3171 0.7264 0.6840
9 O 0.6829 0.2736 0.3160
10 O 0.6829 0.7264 0.3160
11 O 0.7855 0.5000 0.7841
12 O 0.8069 0.0000 0.8060

Output
The value obtained for the formation energy without anion corrections is -3223 meV per atom. As for the space-group type: No. 10. The value obtained for the total moment is 0.000 μB per cell.

Entry 8:
DFT (PBE) results for crystalline YErNpO6 at its relaxed geometry.

abc: 5.7016 5.7016 9.4605
angles: 90.00 90.00 120.00
Positions (direct):
1 Y 0.0000 0.0000 0.0000
2 Y 0.0000 0.0000 0.5000
3 Er 0.3333 0.6667 0.2500
4 Er 0.6667 0.3333 0.7500
5 Np 0.3333 0.6667 0.7500
6 Np 0.6667 0.3333 0.2500
7 O 0.0227 0.3563 0.6342
8 O 0.0227 0.6664 0.8658
9 O 0.3336 0.3563 0.8658
10 O 0.3336 0.9773 0.6342
11 O 0.3563 0.0227 0.1342
12 O 0.3563 0.3336 0.3658
13 O 0.6437 0.6664 0.6342
14 O 0.6437 0.9773 0.8658
15 O 0.6664 0.0227 0.3658
16 O 0.6664 0.6437 0.1342
17 O 0.9773 0.3336 0.1342
18 O 0.9773 0.6437 0.3658

Output
The value obtained for the formation energy without anion corrections is -3214 meV per atom. As for the space-group type: No. 163. The value obtained for the total moment is 2.000 μB per cell.

Entry 9:
DFT (PBE) results for crystalline ErZrNpO6 at its relaxed geometry.

abc: 5.6235 5.6235 9.1703
angles: 90.00 90.00 120.00
Positions (direct):
1 Er 0.3333 0.6667 0.2500
2 Er 0.6667 0.3333 0.7500
3 Zr 0.0000 0.0000 0.0000
4 Zr 0.0000 0.0000 0.5000
5 Np 0.3333 0.6667 0.7500
6 Np 0.6667 0.3333 0.2500
7 O 0.0152 0.3314 0.6279
8 O 0.0152 0.6838 0.8721
9 O 0.3162 0.3314 0.8721
10 O 0.3162 0.9848 0.6279
11 O 0.3314 0.0152 0.1279
12 O 0.3314 0.3162 0.3721
13 O 0.6686 0.6838 0.6279
14 O 0.6686 0.9848 0.8721
15 O 0.6838 0.0152 0.3721
16 O 0.6838 0.6686 0.1279
17 O 0.9848 0.3162 0.1279
18 O 0.9848 0.6686 0.3721

Output
The value obtained for the formation energy without anion corrections is -3114 meV per atom. As for the space-group type: No. 163. The value obtained for the total moment is 4.000 μB per cell.

Entry 10:
DFT (PBE) results for crystalline ErNpOs at its relaxed geometry.

abc: 12.0850 12.0850 12.0850
angles: 17.38 17.38 17.38
Positions (direct):
1 Er 0.1207 0.1207 0.1207
2 Er 0.8793 0.8793 0.8793
3 Np 0.3125 0.3125 0.3125
4 Np 0.6875 0.6875 0.6875
5 Os 0.4014 0.4014 0.4014
6 Os 0.5986 0.5986 0.5986

Output
The calculation puts the energy of formation from the pure elements at 50 kJ/mol of formula units. As for the space-group type: No. 166. The value obtained for the total moment is 0.000 μB per cell.

Entry 11:
DFT (PBE) results for crystalline ErNpOs4 at its relaxed geometry.

abc: 5.3351 5.3351 5.3351
angles: 60.00 60.00 60.00
Positions (direct):
1 Er 0.0000 0.0000 0.0000
2 Np 0.7500 0.7500 0.7500
3 Os 0.3749 0.3749 0.3749
4 Os 0.3749 0.3749 0.8753
5 Os 0.3749 0.8753 0.3749
6 Os 0.8753 0.3749 0.3749

Output
The calculation puts the energy of formation from the pure elements at -79 kJ/mol of formula units. As for the space-group type: No. 216. The value obtained for the total moment is 2.915 μB per cell.

Entry 12:
DFT (PBE) results for crystalline ErNpOsRh at its relaxed geometry.

abc: 4.7935 4.7935 4.7935
angles: 60.00 60.00 60.00
Positions (direct):
1 Er 0.0000 0.0000 0.0000
2 Np 0.5000 0.5000 0.5000
3 Os 0.2500 0.2500 0.2500
4 Rh 0.7500 0.7500 0.7500

Output
The calculation puts the energy of formation from the pure elements at -110 kJ/mol of formula units. As for the space-group type: No. 216. The value obtained for the total moment is 2.982 μB per cell.

Entry 13:
DFT (PBE) results for crystalline ErNpOsRu at its relaxed geometry.

abc: 4.7711 4.7711 4.7711
angles: 60.00 60.00 60.00
Positions (direct):
1 Er 0.0000 0.0000 0.0000
2 Np 0.5000 0.5000 0.5000
3 Os 0.7500 0.7500 0.7500
4 Ru 0.2500 0.2500 0.2500

Output
The calculation puts the energy of formation from the pure elements at -50 kJ/mol of formula units. As for the space-group type: No. 216. The value obtained for the total moment is 2.802 μB per cell.

Entry 14:
DFT (PBE) results for crystalline ErNpTcOs at its relaxed geometry.

abc: 4.7692 4.7692 4.7692
angles: 60.00 60.00 60.00
Positions (direct):
1 Er 0.0000 0.0000 0.0000
2 Np 0.5000 0.5000 0.5000
3 Tc 0.7500 0.7500 0.7500
4 Os 0.2500 0.2500 0.2500

Output
The calculation puts the energy of formation from the pure elements at 4 kJ/mol of formula units. As for the space-group type: No. 216. The value obtained for the total moment is 2.753 μB per cell.

Entry 15:
DFT (PBE) results for crystalline ErNp2P3 at its relaxed geometry.

abc: 13.1258 12.5149 6.8549
angles: 79.48 69.62 30.90
Positions (direct):
1 Er 0.0417 0.0417 0.2083
2 Er 0.2083 0.2083 0.0417
3 Er 0.7917 0.7917 0.9583
4 Er 0.9583 0.9583 0.7917
5 Np 0.1245 0.1245 0.6255
6 Np 0.2911 0.2911 0.4589
7 Np 0.3745 0.3745 0.8755
8 Np 0.4589 0.4589 0.2911
9 Np 0.5411 0.5411 0.7089
10 Np 0.6255 0.6255 0.1245
11 Np 0.7089 0.7089 0.5411
12 Np 0.8755 0.8755 0.3745
13 P 0.0424 0.5421 0.2099
14 P 0.1277 0.6223 0.6223
15 P 0.2099 0.7056 0.0424
16 P 0.2944 0.7901 0.4579
17 P 0.3777 0.8723 0.8723
18 P 0.4579 0.9576 0.2944
19 P 0.5421 0.0424 0.7056
20 P 0.6223 0.1277 0.1277
21 P 0.7056 0.2099 0.5421
22 P 0.7901 0.2944 0.9576
23 P 0.8723 0.3777 0.3777
24 P 0.9576 0.4579 0.7901

Output
The calculation puts the energy of formation from the pure elements at -646 kJ/mol of formula units. As for the space-group type: No. 70. The value obtained for the total moment is 29.526 μB per cell.

Entry 16:
DFT (PBE) results for crystalline ErNpP2 at its relaxed geometry.

abc: 6.8537 6.8537 6.8537
angles: 33.58 33.58 33.58
Positions (direct):
1 Er 0.0000 0.0000 0.0000
2 Np 0.5000 0.5000 0.5000
3 P 0.2488 0.2488 0.2488
4 P 0.7512 0.7512 0.7512

Output
The calculation puts the energy of formation from the pure elements at -477 kJ/mol of formula units. As for the space-group type: No. 166. The value obtained for the total moment is 3.671 μB per cell. The energy above the most stable polymorph in this dataset is 2.4 meV per atom.

Entry 17:
DFT (PBE) results for crystalline ErNp5P6 at its relaxed geometry.

abc: 6.8603 6.8603 6.8437
angles: 99.64 99.64 120.12
Positions (direct):
1 Er 0.0000 0.0000 0.0000
2 Np 0.1656 0.8344 0.5000
3 Np 0.3339 0.6661 0.0000
4 Np 0.5000 0.5000 0.5000
5 Np 0.6661 0.3339 0.0000
6 Np 0.8344 0.1656 0.5000
7 P 0.0822 0.4189 0.2500
8 P 0.2511 0.2511 0.7497
9 P 0.4189 0.0822 0.2500
10 P 0.5811 0.9178 0.7500
11 P 0.7489 0.7489 0.2503
12 P 0.9178 0.5811 0.7500

Output
The calculation puts the energy of formation from the pure elements at -1118 kJ/mol of formula units. As for the space-group type: No. 12. The value obtained for the total moment is 11.086 μB per cell.

Entry 18:
DFT (PBE) results for crystalline ErNpP2 at its relaxed geometry.

abc: 7.3062 7.3062 7.3062
angles: 30.52 30.52 30.52
Positions (direct):
1 Er 0.0000 0.0000 0.0000
2 Np 0.8286 0.8286 0.8286
3 P 0.4124 0.4124 0.4124
4 P 0.5820 0.5820 0.5820

Output
The calculation puts the energy of formation from the pure elements at -415 kJ/mol of formula units. As for the space-group type: No. 160. The value obtained for the total moment is 3.913 μB per cell. The energy above the most stable polymorph in this dataset is 164.9 meV per atom.

Entry 19:
DFT (PBE) results for crystalline ErNpP2 at its relaxed geometry.

abc: 6.8611 6.8611 6.8611
angles: 131.88 131.88 70.42
Positions (direct):
1 Er 0.3750 0.6250 0.7500
2 Er 0.6250 0.3750 0.2500
3 Np 0.1250 0.8750 0.2500
4 Np 0.8750 0.1250 0.7500
5 P 0.1223 0.3723 0.7500
6 P 0.3723 0.1223 0.2500
7 P 0.6277 0.8777 0.7500
8 P 0.8777 0.6277 0.2500

Output
The calculation puts the energy of formation from the pure elements at -478 kJ/mol of formula units. As for the space-group type: No. 141. The value obtained for the total moment is 7.528 μB per cell. The energy above the most stable polymorph in this dataset is 0.0 meV per atom.

Entry 20:
DFT (PBE) results for crystalline Er4NpP5 at its relaxed geometry.

abc: 10.4972 10.4972 10.4972
angles: 158.25 149.08 38.12
Positions (direct):
1 Er 0.1013 0.1013 0.0000
2 Er 0.2987 0.2987 0.0000
3 Er 0.7013 0.7013 0.0000
4 Er 0.8987 0.8987 0.0000
5 Np 0.5000 0.5000 0.0000
6 P 0.0000 0.5000 0.5000
7 P 0.2005 0.7005 0.5000
8 P 0.4016 0.9016 0.5000
9 P 0.5984 0.0984 0.5000
10 P 0.7995 0.2995 0.5000

Output
The calculation puts the energy of formation from the pure elements at -1409 kJ/mol of formula units. As for the space-group type: No. 71. The value obtained for the total moment is 3.605 μB per cell.